(1)
## VGa2CuGe (PBE)

Data for a relaxed structure of VGa2CuGe.

a = 4.8381 Å, b = 4.7699 Å, c = 4.8381 Å
α = 90.00°, β = 90.00°, γ = 90.00°
Element x y z (fractional)
1 Ge 0.0000 0.0000 0.0000
2 Cu 0.5000 0.5000 0.5000
3 Ga 0.0000 0.0000 0.5000
4 Ga 0.5000 0.0000 0.0000
5 V 0.0000 0.5000 0.0000

---

(2)
## Be2InAs (PBE)

Data for a relaxed structure of Be2InAs.

a = 4.7217 Å, b = 4.7217 Å, c = 2.8675 Å
α = 90.00°, β = 90.00°, γ = 99.85°
Element x y z (fractional)
1 Be 0.0000 0.0000 0.0000
2 Be 0.5000 0.5000 0.0000
3 As 0.0000 0.5000 0.5000
4 In 0.5000 0.0000 0.5000

---

| no. | density (g/cm3) | formation enthalpy at 0 K (meV/atom) |
| --- | --- | --- |
| 1 | 4.9 | 909 |
| 2 | 5.5 | 611 |